# Cs12Au5Cl3

A relaxed structure of Cs12Au5Cl3 (PBE, Alexandria via LeMat-Bulk).

Structure (extended XYZ):
```
80
Lattice="18.386 0.000 0.000 -6.129 17.334 0.000 -6.129 -8.667 15.012" Properties=species:S:1:pos:R:3 pbc="T T T"
Au 7.661 7.584 5.630
Au 3.064 4.334 7.506
Au 1.532 -4.334 11.259
Au -1.532 4.334 3.753
Au 9.193 0.000 0.000
Au -1.532 14.084 1.877
Au 6.129 8.667 0.000
Au 10.725 -1.083 9.383
Au 6.129 -4.334 7.506
Au -3.064 -4.334 7.506
Au -6.129 4.334 7.506
Au -3.064 8.667 0.000
Au -4.596 9.751 5.630
Au 4.596 3.250 1.877
Au 1.532 5.417 13.136
Au 0.000 0.000 0.000
Au 4.596 13.001 3.753
Au -1.532 1.083 9.383
Au 7.661 4.334 11.259
Au 7.661 -5.417 13.136
Cs 6.719 2.423 13.940
Cs -3.623 9.735 11.593
Cs 12.847 8.385 2.634
Cs 9.148 15.643 0.785
Cs -3.020 -6.976 14.227
Cs 12.213 -4.168 9.363
Cs -0.590 10.807 1.562
Cs 4.257 7.380 5.944
Cs 8.000 2.876 1.857
Cs -0.558 1.068 3.419
Cs -2.474 -0.283 12.378
Cs 6.173 2.808 8.578
Cs 6.719 -2.140 13.450
Cs 3.654 6.527 1.562
Cs 8.635 9.506 8.291
Cs 2.474 2.140 13.450
Cs 12.302 1.691 0.785
Cs 3.654 11.090 1.072
Cs 8.603 8.950 2.634
Cs 5.570 -1.907 4.872
Cs 1.871 1.287 9.068
Cs 6.687 7.599 11.593
Cs -1.871 5.792 13.155
Cs -1.193 9.955 5.944
Cs 2.506 6.761 10.140
Cs 13.450 4.163 4.087
Cs 3.020 -2.808 8.578
Cs -5.570 7.828 8.291
Cs -6.719 0.283 12.378
Cs -6.084 12.835 5.649
Cs -6.173 6.976 14.227
Cs 0.558 10.574 10.140
Cs 11.064 -5.792 13.155
Cs -1.871 -4.504 10.925
Cs -3.020 4.168 9.363
Cs 3.623 1.907 4.872
Cs 9.148 4.500 5.649
Cs -2.506 -0.839 6.721
Cs -0.045 5.859 6.434
Cs -7.321 4.504 10.925
Cs 3.109 11.475 6.434
Cs 2.474 -2.423 13.940
Cs -0.590 6.245 1.072
Cs 7.321 -1.287 9.068
Cs 11.699 0.839 6.721
Cs -4.936 14.459 1.857
Cs 8.000 13.171 4.087
Cs 9.751 -1.068 3.419
Cl 7.661 1.083 5.630
Cl -4.596 3.250 13.136
Cl 1.532 -1.083 5.630
Cl -7.661 8.667 11.259
Cl 10.725 5.417 1.877
Cl 4.596 0.000 11.259
Cl 13.789 0.000 3.753
Cl 4.596 9.751 9.383
Cl -1.532 7.584 9.383
Cl 1.532 8.667 3.753
Cl -4.596 -3.250 13.136
Cl 10.725 11.917 1.877
```

Computed properties:
DOS at the Fermi energy, states/eV per atom: 0.814
Mass density, g cm⁻³: 3.729
Energy relative to the elements, uncorrected, eV/atom: -0.616